1.
Here is crystalline HgBiMo2O8 at its relaxed geometry from Alexandria via LeMat-Bulk. Energies are from GGA+U.

Calculated values
**Theoretical density**: 5.4 g/cm3
**VASP energy**: -6.09 eV per atom
**N(E_F)**: 3.9 states/eV/f.u.

abc: 11.1795 6.3927 6.5291
angles: 90.00 106.51 90.00
Space group C2/m (No. 12)
One atom of each set of equivalent atoms:
Hg 0.0000 0.0000 0.0000 (multiplicity 2)
Bi 0.0000 0.5000 0.5000 (multiplicity 2)
Mo 0.1931 0.0000 0.6282 (multiplicity 4)
O 0.1224 0.2301 0.7112 (multiplicity 8)
O 0.1377 0.5000 0.2806 (multiplicity 4)
O 0.1548 0.0000 0.3477 (multiplicity 4)

2.
Here is crystalline HgBi2MoO at its relaxed geometry from Alexandria via LeMat-Bulk. Energies are from GGA+U.

Calculated values
**Theoretical density**: 6.7 g/cm3
**VASP energy**: -2.67 eV per atom
**N(E_F)**: 4.1 states/eV/f.u.

abc: 5.6479 5.6479 5.6495
angles: 90.00 90.00 90.00
Space group P4/mmm (No. 123)
One atom of each set of equivalent atoms:
Hg 0.0000 0.0000 0.0000 (multiplicity 1)
Bi 0.0000 0.5000 0.0000 (multiplicity 2)
Mo 0.0000 0.0000 0.5000 (multiplicity 1)
O 0.5000 0.5000 0.5000 (multiplicity 1)